<w>
V3CrW | the Alexandria database | PBE | optimized geometry; spin magnetization = 0.00 μB per cell; volume = 13.59 Å³/atom
1.0
3.0028 0.0000 0.0000
-0.0066 6.0390 0.0000
-1.4867 -1.5544 7.4941
V Cr W
6 2 2
direct
0.1035 0.0517 0.2067
0.3007 0.1547 0.6005
0.3006 0.6461 0.6026
0.6994 0.3539 0.3974
0.6993 0.8453 0.3995
0.8965 0.9483 0.7933
0.1028 0.5515 0.2060
0.8972 0.4485 0.7940
0.5004 0.2543 0.9992
0.4996 0.7457 0.0008

---

<x>
V3CrW | the Alexandria database | PBE | optimized geometry; spin magnetization = 0.00 μB per cell; volume = 15.34 Å³/atom
1.0
4.2491 0.0000 0.0000
0.0000 4.2491 0.0000
0.0000 0.0000 4.2491
V Cr W
3 1 1
direct
0.0000 0.0000 0.5000
0.0000 0.5000 0.0000
0.5000 0.0000 0.0000
0.0000 0.0000 0.0000
0.5000 0.5000 0.5000

---

On energetic grounds, <w> is preferred over the next structure by 1071 meV/atom.

---

<w>
V6CrW | the Alexandria database | PBE | optimized geometry; spin magnetization = 0.00 μB per cell; volume = 13.57 Å³/atom
1.0
3.0145 -4.2707 0.0000
3.0145 4.2707 0.0000
0.0000 0.0000 4.2162
V Cr W
6 1 1
direct
0.0000 0.5000 0.5000
0.2416 0.2416 0.0000
0.2492 0.7508 0.0000
0.5000 0.0000 0.5000
0.7508 0.2492 0.0000
0.7584 0.7584 0.0000
0.0000 0.0000 0.5000
0.5000 0.5000 0.5000

---

<x>
V6CrW | the Alexandria database | PBE | optimized geometry; spin magnetization = 0.00 μB per cell; volume = 13.84 Å³/atom
1.0
4.3909 2.5351 1.6583
-4.3909 2.5351 1.6583
0.0000 -5.0701 1.6583
V Cr W
6 1 1
direct
0.2522 0.2522 0.7430
0.2522 0.7430 0.2522
0.2570 0.7478 0.7478
0.7430 0.2522 0.2522
0.7478 0.2570 0.7478
0.7478 0.7478 0.2570
0.5000 0.5000 0.5000
0.0000 0.0000 0.0000

---

On energetic grounds, <w> is preferred over the next structure by 192 meV/atom.

---

<w>
V8CrW2 | the Alexandria database | PBE | optimized geometry; spin magnetization = 0.00 μB per cell; volume = 14.31 Å³/atom
1.0
6.0242 -2.1698 0.0000
6.0242 2.1698 0.0000
-3.5589 0.0000 6.0195
V Cr W
8 1 2
direct
0.0462 0.0462 0.3620
0.1979 0.1979 0.8003
0.3162 0.3162 0.5779
0.4378 0.4378 0.1126
0.5622 0.5622 0.8874
0.6838 0.6838 0.4221
0.8021 0.8021 0.1997
0.9538 0.9538 0.6380
0.5000 0.5000 0.5000
0.1456 0.1456 0.1159
0.8544 0.8544 0.8841

---

<x>
V8CrW2 | the Alexandria database | PBE | optimized geometry; spin magnetization = 0.00 μB per cell; volume = 15.84 Å³/atom
1.0
5.0026 -4.0696 0.0000
5.0026 4.0696 0.0000
-1.9396 0.0000 4.2799
V Cr W
8 1 2
direct
0.0677 0.0677 0.2845
0.1618 0.6608 0.1468
0.2261 0.2261 0.8780
0.3392 0.8382 0.8532
0.6608 0.1618 0.1468
0.7739 0.7739 0.1220
0.8382 0.3392 0.8532
0.9323 0.9323 0.7155
0.5000 0.5000 0.0000
0.3613 0.3613 0.4466
0.6387 0.6387 0.5534

---

On energetic grounds, <w> is preferred over the next structure by 422 meV/atom.

---

<w>
V7Cr2W2 | the Alexandria database | PBE | optimized geometry; spin magnetization = 0.00 μB per cell; volume = 14.31 Å³/atom
1.0
2.5633 -4.3032 0.0000
2.5633 4.3032 0.0000
-0.4670 0.0000 7.1347
V Cr W
7 2 2
direct
0.0000 0.0000 0.0000
0.1413 0.4990 0.8534
0.2465 0.2465 0.2721
0.4990 0.1413 0.8534
0.5010 0.8587 0.1466
0.7535 0.7535 0.7279
0.8587 0.5010 0.1466
0.2544 0.2544 0.6062
0.7456 0.7456 0.3938
0.2512 0.7488 0.5000
0.7488 0.2512 0.5000

---

<x>
V7Cr2W2 | the Alexandria database | PBE | optimized geometry; spin magnetization = 0.00 μB per cell; volume = 13.76 Å³/atom
1.0
2.4730 -4.2086 0.0000
2.4730 4.2086 0.0000
-0.6070 0.0000 7.2717
V Cr W
7 2 2
direct
0.0000 0.0000 0.0000
0.0196 0.0196 0.6557
0.0643 0.5433 0.8312
0.4567 0.9357 0.1688
0.5433 0.0643 0.8312
0.9357 0.4567 0.1688
0.9804 0.9804 0.3443
0.4560 0.4560 0.1610
0.5440 0.5440 0.8390
0.3337 0.6663 0.5000
0.6663 0.3337 0.5000

---

On energetic grounds, <x> is preferred over the next structure by 218 meV/atom.